1.
{
  "formula": "Sc5PtAu2",
  "functional": "PBE",
  "state": "relaxed",
  "cell": [[-3.171, 1.816, -2.896], [-3.133, -5.547, -0.048], [-6.068, 3.351, 8.746]],
  "species": ["Pt", "Sc", "Au", "Au", "Sc", "Sc", "Au", "Sc", "Sc", "Au", "Pt", "Sc", "Sc", "Sc", "Sc", "Sc"],
  "frac_coords": [[0.000, 0.000, 0.000], [0.000, 0.152, 0.782], [0.500, 0.085, 0.348], [0.500, 0.585, 0.152], [0.000, 0.000, 0.500], [0.500, 0.169, 0.097], [0.500, 0.915, 0.652], [0.500, 0.331, 0.597], [0.500, 0.669, 0.403], [0.500, 0.415, 0.848], [0.000, 0.500, 0.500], [0.000, 0.652, 0.718], [0.500, 0.831, 0.903], [0.000, 0.348, 0.282], [0.000, 0.848, 0.218], [0.000, 0.500, 0.000]]
}

2.
{
  "formula": "Sc5Pt2Au2",
  "functional": "PBE",
  "state": "relaxed",
  "cell": [[7.063, 0.000, 0.000], [0.000, 6.147, -3.160], [0.000, 0.374, 8.285]],
  "species": ["Pt", "Sc", "Au", "Au", "Pt", "Pt", "Sc", "Sc", "Sc", "Sc", "Sc", "Sc", "Sc", "Pt", "Sc", "Au", "Au", "Sc"],
  "frac_coords": [[0.862, 0.365, 0.000], [0.000, 0.000, 0.000], [0.000, 0.212, 0.424], [0.000, 0.788, 0.576], [0.638, 0.865, 0.000], [0.138, 0.635, 0.000], [0.173, 0.192, 0.731], [0.827, 0.808, 0.269], [0.827, 0.539, 0.731], [0.327, 0.961, 0.269], [0.673, 0.039, 0.731], [0.173, 0.461, 0.269], [0.327, 0.692, 0.731], [0.362, 0.135, 0.000], [0.673, 0.308, 0.269], [0.500, 0.712, 0.424], [0.500, 0.288, 0.576], [0.500, 0.500, 0.000]]
}

3.
{
  "formula": "Sc3PtAu2",
  "functional": "PBE",
  "state": "relaxed",
  "cell": [[3.380, 0.000, 0.000], [0.000, 3.380, 0.000], [0.000, 0.000, 10.052]],
  "species": ["Sc", "Au", "Pt", "Sc", "Au", "Sc"],
  "frac_coords": [[0.000, 0.000, 0.659], [0.500, 0.500, 0.171], [0.500, 0.500, 0.500], [0.000, 0.000, 0.341], [0.500, 0.500, 0.829], [0.000, 0.000, 0.000]]
}

4.
{
  "formula": "ScPt2Au2",
  "functional": "PBE",
  "state": "relaxed",
  "cell": [[-2.307, 2.395, -1.789], [-2.256, 0.087, 3.026], [1.247, 6.491, 3.098]],
  "species": ["Au", "Sc", "Au", "Pt", "Pt"],
  "frac_coords": [[0.750, 0.250, 0.500], [0.000, 0.000, 0.000], [0.250, 0.750, 0.500], [0.595, 0.595, 0.810], [0.405, 0.405, 0.190]],
  "relative_energy_ev_per_atom": 0.065
}

5.
{
  "formula": "Sc4PtAu2",
  "functional": "PBE",
  "state": "relaxed",
  "cell": [[-2.439, 1.420, -3.763], [-2.535, -3.101, -2.466], [-7.771, 0.860, 2.422]],
  "species": ["Sc", "Sc", "Au", "Pt", "Sc", "Au", "Sc"],
  "frac_coords": [[0.125, 0.125, 0.626], [0.625, 0.625, 0.124], [0.754, 0.754, 0.737], [0.000, 0.000, 0.000], [0.875, 0.875, 0.374], [0.246, 0.246, 0.263], [0.375, 0.375, 0.876]]
}

6.
{
  "formula": "Sc5PtAu4",
  "functional": "PBE",
  "state": "relaxed",
  "cell": [[3.388, 0.000, 0.000], [0.000, 3.388, 0.000], [0.000, 0.000, 16.875]],
  "species": ["Au", "Au", "Au", "Sc", "Sc", "Sc", "Sc", "Sc", "Au", "Pt"],
  "frac_coords": [[0.000, 0.000, 0.601], [0.000, 0.000, 0.399], [0.000, 0.000, 0.197], [0.500, 0.500, 0.500], [0.500, 0.500, 0.703], [0.500, 0.500, 0.297], [0.500, 0.500, 0.906], [0.500, 0.500, 0.094], [0.000, 0.000, 0.803], [0.000, 0.000, 0.000]]
}

7.
{
  "formula": "Sc7Pt4Au",
  "functional": "PBE",
  "state": "relaxed",
  "cell": [[4.993, 0.000, 0.000], [2.497, 7.639, 0.177], [2.497, 0.523, 6.592]],
  "species": ["Sc", "Pt", "Pt", "Sc", "Sc", "Au", "Sc", "Pt", "Sc", "Sc", "Sc", "Pt"],
  "frac_coords": [[0.071, 0.663, 0.195], [0.711, 0.654, 0.924], [0.433, 0.778, 0.357], [0.500, 0.000, 0.000], [0.929, 0.337, 0.805], [0.000, 0.000, 0.000], [0.216, 0.130, 0.439], [0.289, 0.346, 0.076], [0.666, 0.391, 0.278], [0.784, 0.870, 0.561], [0.334, 0.609, 0.722], [0.567, 0.222, 0.643]]
}

8.
{
  "formula": "Sc5Pt2Au",
  "functional": "PBE",
  "state": "relaxed",
  "cell": [[-0.400, -0.276, 4.593], [-3.777, -4.953, -0.627], [8.917, -6.847, 0.365]],
  "species": ["Pt", "Au", "Sc", "Sc", "Sc", "Sc", "Sc", "Sc", "Au", "Pt", "Pt", "Sc", "Sc", "Sc", "Pt", "Sc"],
  "frac_coords": [[0.500, 0.418, 0.349], [0.000, 0.500, 0.000], [0.500, 0.829, 0.393], [0.500, 0.329, 0.107], [0.000, 0.667, 0.223], [0.000, 0.167, 0.277], [0.000, 0.000, 0.000], [0.500, 0.671, 0.893], [0.000, 0.000, 0.500], [0.500, 0.582, 0.651], [0.500, 0.918, 0.151], [0.000, 0.833, 0.723], [0.000, 0.333, 0.777], [0.500, 0.171, 0.607], [0.500, 0.082, 0.849], [0.000, 0.500, 0.500]]
}

9.
{
  "formula": "ScPtAu",
  "functional": "PBE",
  "state": "relaxed",
  "cell": [[-1.692, 3.918, -1.394], [-3.556, 0.062, -2.740], [-3.986, 1.394, 1.526]],
  "species": ["Pt", "Sc", "Au"],
  "frac_coords": [[0.750, 0.750, 0.750], [0.000, 0.000, 0.000], [0.500, 0.500, 0.500]],
  "relative_energy_ev_per_atom": 0.213
}

10.
{
  "formula": "ScPtAu",
  "functional": "PBE",
  "state": "relaxed",
  "cell": [[5.115, 0.000, 0.000], [0.000, 6.535, 0.127], [0.000, -0.830, 6.411]],
  "species": ["Au", "Sc", "Pt", "Pt", "Sc", "Sc", "Sc", "Pt", "Au", "Au", "Pt", "Au"],
  "frac_coords": [[0.130, 0.415, 0.668], [0.127, 0.769, 0.001], [0.625, 0.922, 0.166], [0.875, 0.922, 0.666], [0.627, 0.231, 0.499], [0.873, 0.231, 0.999], [0.373, 0.769, 0.501], [0.375, 0.078, 0.834], [0.870, 0.585, 0.332], [0.630, 0.585, 0.832], [0.125, 0.078, 0.334], [0.370, 0.415, 0.168]],
  "relative_energy_ev_per_atom": 0.007
}

11.
{
  "formula": "Sc4Pt3Au2",
  "functional": "PBE",
  "state": "relaxed",
  "cell": [[4.415, 0.000, 0.002], [2.207, 4.353, 0.467], [0.000, 0.359, 8.640]],
  "species": ["Sc", "Au", "Sc", "Sc", "Sc", "Au", "Pt", "Pt", "Pt"],
  "frac_coords": [[0.348, 0.303, 0.112], [0.694, 0.612, 0.224], [0.963, 0.075, 0.659], [0.652, 0.697, 0.888], [0.037, 0.925, 0.341], [0.306, 0.388, 0.776], [0.000, 0.000, 0.000], [0.653, 0.694, 0.571], [0.347, 0.306, 0.429]]
}

12.
{
  "formula": "ScPt2Au2",
  "functional": "PBE",
  "state": "relaxed",
  "cell": [[-4.922, -4.864, -1.789], [3.866, -5.089, 3.199], [-1.735, 0.621, 3.085]],
  "species": ["Au", "Pt", "Pt", "Sc", "Au", "Pt", "Au", "Sc", "Au", "Pt"],
  "frac_coords": [[0.140, 0.360, 0.000], [0.841, 0.341, 0.500], [0.659, 0.841, 0.500], [0.500, 0.500, 0.000], [0.860, 0.640, 0.000], [0.341, 0.159, 0.500], [0.360, 0.860, 0.000], [0.000, 0.000, 0.000], [0.640, 0.140, 0.000], [0.159, 0.659, 0.500]],
  "relative_energy_ev_per_atom": 0.129
}

Theoretical density
In order: 8.2; 9.1; 10.5; 14.2; 8.6; 10.4; 8.5; 8.3; 11.3; 13.5; 11.6; 15.0
Unit: g/cm3
ΔH_f (0 K)
In order: -6.30; -8.30; -5.70; -2.08; -5.39; -8.95; -9.93; -6.77; -2.13; -2.75; -8.68; -1.75
Unit: eV per formula unit
Electronic total energy
In order: -0.2322; -0.2393; -0.2284; -0.1988; -0.2274; -0.2196; -0.2502; -0.2471; -0.2178; -0.2254; -0.2396; -0.1964
Unit: Ha/atom